(1)
# MnH2Rh2 PBEsol optimized geometry
data_MnH2Rh2
_cell_length_a 5.621
_cell_length_b 5.621
_cell_length_c 5.621
_cell_angle_alpha 149.31
_cell_angle_beta 149.31
_cell_angle_gamma 43.96
_symmetry_space_group_name_H-M 'P 1'
_symmetry_Int_Tables_number 1
loop_
_symmetry_equiv_pos_as_xyz
'x,y,z'
loop_
_atom_site_label
_atom_site_fract_x
_atom_site_fract_y
_atom_site_fract_z
Mn1 0.000 0.000 0.000
H1 0.250 0.750 0.500
H2 0.750 0.250 0.500
Rh1 0.356 0.356 0.000
Rh2 0.644 0.644 0.000
# total DFT energy (no corrections)	-0.24113	Ha/atom

(2)
# YMnH2Rh PBEsol optimized geometry
data_YMnH2Rh
_cell_length_a 3.764
_cell_length_b 3.764
_cell_length_c 5.086
_cell_angle_alpha 90.00
_cell_angle_beta 90.00
_cell_angle_gamma 90.00
_symmetry_space_group_name_H-M 'P 1'
_symmetry_Int_Tables_number 1
loop_
_symmetry_equiv_pos_as_xyz
'x,y,z'
loop_
_atom_site_label
_atom_site_fract_x
_atom_site_fract_y
_atom_site_fract_z
Y1 0.000 0.000 0.000
Mn1 0.500 0.500 0.000
H1 0.000 0.500 0.500
H2 0.500 0.000 0.500
Rh1 0.000 0.000 0.500
# total DFT energy (no corrections)	-0.20813	Ha/atom

(3)
# Mn3HRu PBEsol optimized geometry
data_Mn3HRu
_cell_length_a 3.589
_cell_length_b 3.589
_cell_length_c 3.589
_cell_angle_alpha 90.00
_cell_angle_beta 90.00
_cell_angle_gamma 90.00
_symmetry_space_group_name_H-M 'P 1'
_symmetry_Int_Tables_number 1
loop_
_symmetry_equiv_pos_as_xyz
'x,y,z'
loop_
_atom_site_label
_atom_site_fract_x
_atom_site_fract_y
_atom_site_fract_z
Mn1 0.000 0.000 0.500
Mn2 0.000 0.500 0.000
Mn3 0.500 0.000 0.000
H1 0.000 0.000 0.000
Ru1 0.500 0.500 0.500
# total DFT energy (no corrections)	-0.31261	Ha/atom

(4)
# MnHS2 PBEsol optimized geometry
data_MnHS2
_cell_length_a 6.045
_cell_length_b 6.045
_cell_length_c 6.045
_cell_angle_alpha 31.99
_cell_angle_beta 31.99
_cell_angle_gamma 31.99
_symmetry_space_group_name_H-M 'P 1'
_symmetry_Int_Tables_number 1
loop_
_symmetry_equiv_pos_as_xyz
'x,y,z'
loop_
_atom_site_label
_atom_site_fract_x
_atom_site_fract_y
_atom_site_fract_z
Mn1 0.000 0.000 0.000
H1 0.500 0.500 0.500
S1 0.405 0.405 0.405
S2 0.595 0.595 0.595
# total DFT energy (no corrections)	-0.21442	Ha/atom

(5)
# Mn3SbH PBEsol optimized geometry
data_Mn3SbH
_cell_length_a 3.790
_cell_length_b 3.790
_cell_length_c 3.790
_cell_angle_alpha 90.00
_cell_angle_beta 90.00
_cell_angle_gamma 90.00
_symmetry_space_group_name_H-M 'P 1'
_symmetry_Int_Tables_number 1
loop_
_symmetry_equiv_pos_as_xyz
'x,y,z'
loop_
_atom_site_label
_atom_site_fract_x
_atom_site_fract_y
_atom_site_fract_z
Mn1 0.000 0.000 0.500
Mn2 0.000 0.500 0.000
Mn3 0.500 0.000 0.000
Sb1 0.500 0.500 0.500
H1 0.000 0.000 0.000
# total DFT energy (no corrections)	-0.27237	Ha/atom

(6)
# SrMnSbH2 PBEsol optimized geometry
data_SrMnSbH2
_cell_length_a 4.259
_cell_length_b 4.259
_cell_length_c 6.565
_cell_angle_alpha 90.00
_cell_angle_beta 90.00
_cell_angle_gamma 90.00
_symmetry_space_group_name_H-M 'P 1'
_symmetry_Int_Tables_number 1
loop_
_symmetry_equiv_pos_as_xyz
'x,y,z'
loop_
_atom_site_label
_atom_site_fract_x
_atom_site_fract_y
_atom_site_fract_z
Sr1 0.000 0.000 0.000
Mn1 0.500 0.500 0.000
Sb1 0.000 0.000 0.500
H1 0.000 0.500 0.500
H2 0.500 0.000 0.500
# total DFT energy (no corrections)	-0.13613	Ha/atom

(7)
# MnSb2TeH PBEsol optimized geometry
data_MnSb2TeH
_cell_length_a 4.898
_cell_length_b 4.898
_cell_length_c 5.036
_cell_angle_alpha 90.00
_cell_angle_beta 90.00
_cell_angle_gamma 90.00
_symmetry_space_group_name_H-M 'P 1'
_symmetry_Int_Tables_number 1
loop_
_symmetry_equiv_pos_as_xyz
'x,y,z'
loop_
_atom_site_label
_atom_site_fract_x
_atom_site_fract_y
_atom_site_fract_z
Mn1 0.000 0.000 0.000
Sb1 0.000 0.500 0.000
Sb2 0.500 0.000 0.000
Te1 0.000 0.000 0.500
H1 0.500 0.500 0.500
# total DFT energy (no corrections)	-0.16152	Ha/atom

(8)
# Mn2ZnSbH PBEsol optimized geometry
data_Mn2ZnSbH
_cell_length_a 3.800
_cell_length_b 3.800
_cell_length_c 4.443
_cell_angle_alpha 90.00
_cell_angle_beta 90.00
_cell_angle_gamma 90.00
_symmetry_space_group_name_H-M 'P 1'
_symmetry_Int_Tables_number 1
loop_
_symmetry_equiv_pos_as_xyz
'x,y,z'
loop_
_atom_site_label
_atom_site_fract_x
_atom_site_fract_y
_atom_site_fract_z
Mn1 0.000 0.500 0.000
Mn2 0.500 0.000 0.000
Zn1 0.000 0.000 0.500
Sb1 0.500 0.500 0.500
H1 0.500 0.500 0.000
# total DFT energy (no corrections)	-0.20027	Ha/atom

(9)
# MnHSe2 PBEsol optimized geometry
data_MnHSe2
_cell_length_a 6.536
_cell_length_b 6.536
_cell_length_c 6.536
_cell_angle_alpha 32.06
_cell_angle_beta 32.06
_cell_angle_gamma 32.06
_symmetry_space_group_name_H-M 'P 1'
_symmetry_Int_Tables_number 1
loop_
_symmetry_equiv_pos_as_xyz
'x,y,z'
loop_
_atom_site_label
_atom_site_fract_x
_atom_site_fract_y
_atom_site_fract_z
Mn1 0.000 0.000 0.000
H1 0.500 0.500 0.500
Se1 0.405 0.405 0.405
Se2 0.595 0.595 0.595
# relative energy among the computed polymorphs	22	meV/atom
# total DFT energy (no corrections)	-0.19694	Ha/atom

(10)
# Mn2HSe PBEsol optimized geometry
data_Mn2HSe
_cell_length_a 3.872
_cell_length_b 3.872
_cell_length_c 3.872
_cell_angle_alpha 60.00
_cell_angle_beta 60.00
_cell_angle_gamma 60.00
_symmetry_space_group_name_H-M 'P 1'
_symmetry_Int_Tables_number 1
loop_
_symmetry_equiv_pos_as_xyz
'x,y,z'
loop_
_atom_site_label
_atom_site_fract_x
_atom_site_fract_y
_atom_site_fract_z
Mn1 0.250 0.250 0.250
Mn2 0.750 0.750 0.750
H1 0.000 0.000 0.000
Se1 0.500 0.500 0.500
# total DFT energy (no corrections)	-0.23004	Ha/atom

(11)
# MnH2Se PBEsol optimized geometry
data_MnH2Se
_cell_length_a 6.761
_cell_length_b 6.761
_cell_length_c 6.761
_cell_angle_alpha 149.16
_cell_angle_beta 149.16
_cell_angle_gamma 44.18
_symmetry_space_group_name_H-M 'P 1'
_symmetry_Int_Tables_number 1
loop_
_symmetry_equiv_pos_as_xyz
'x,y,z'
loop_
_atom_site_label
_atom_site_fract_x
_atom_site_fract_y
_atom_site_fract_z
Mn1 0.375 0.625 0.750
Mn2 0.625 0.375 0.250
H1 0.000 0.500 0.500
H2 0.500 0.000 0.000
H3 0.500 0.500 0.000
H4 0.500 0.500 0.500
Se1 0.125 0.875 0.250
Se2 0.875 0.125 0.750
# total DFT energy (no corrections)	-0.17371	Ha/atom

(12)
# MnHSe2 PBEsol optimized geometry
data_MnHSe2
_cell_length_a 6.232
_cell_length_b 6.232
_cell_length_c 7.893
_cell_angle_alpha 126.37
_cell_angle_beta 126.37
_cell_angle_gamma 31.83
_symmetry_space_group_name_H-M 'P 1'
_symmetry_Int_Tables_number 1
loop_
_symmetry_equiv_pos_as_xyz
'x,y,z'
loop_
_atom_site_label
_atom_site_fract_x
_atom_site_fract_y
_atom_site_fract_z
Mn1 0.104 0.104 0.416
Mn2 0.896 0.896 0.584
H1 0.000 0.000 0.500
H2 0.500 0.500 0.000
Se1 0.257 0.257 0.313
Se2 0.446 0.446 0.162
Se3 0.554 0.554 0.838
Se4 0.743 0.743 0.687
# relative energy among the computed polymorphs	0	meV/atom
# total DFT energy (no corrections)	-0.19774	Ha/atom

(13)
# MnSi2H2 PBEsol optimized geometry
data_MnSi2H2
_cell_length_a 5.410
_cell_length_b 5.410
_cell_length_c 2.808
_cell_angle_alpha 90.00
_cell_angle_beta 90.00
_cell_angle_gamma 90.00
_symmetry_space_group_name_H-M 'P 1'
_symmetry_Int_Tables_number 1
loop_
_symmetry_equiv_pos_as_xyz
'x,y,z'
loop_
_atom_site_label
_atom_site_fract_x
_atom_site_fract_y
_atom_site_fract_z
Mn1 0.000 0.000 0.000
Mn2 0.500 0.500 0.000
Si1 0.154 0.346 0.500
Si2 0.346 0.846 0.500
Si3 0.654 0.154 0.500
Si4 0.846 0.654 0.500
H1 0.190 0.690 0.000
H2 0.310 0.190 0.000
H3 0.690 0.810 0.000
H4 0.810 0.310 0.000
# total DFT energy (no corrections)	-0.19809	Ha/atom

(14)
# Mn2SiH2 PBEsol optimized geometry
data_Mn2SiH2
_cell_length_a 5.244
_cell_length_b 5.244
_cell_length_c 5.244
_cell_angle_alpha 149.37
_cell_angle_beta 149.37
_cell_angle_gamma 43.87
_symmetry_space_group_name_H-M 'P 1'
_symmetry_Int_Tables_number 1
loop_
_symmetry_equiv_pos_as_xyz
'x,y,z'
loop_
_atom_site_label
_atom_site_fract_x
_atom_site_fract_y
_atom_site_fract_z
Mn1 0.144 0.144 0.000
Mn2 0.856 0.856 0.000
Si1 0.500 0.500 0.000
H1 0.250 0.750 0.500
H2 0.750 0.250 0.500
# total DFT energy (no corrections)	-0.24056	Ha/atom

(15)
# MnSnH2 PBEsol optimized geometry
data_MnSnH2
_cell_length_a 3.989
_cell_length_b 3.989
_cell_length_c 3.989
_cell_angle_alpha 60.00
_cell_angle_beta 60.00
_cell_angle_gamma 60.00
_symmetry_space_group_name_H-M 'P 1'
_symmetry_Int_Tables_number 1
loop_
_symmetry_equiv_pos_as_xyz
'x,y,z'
loop_
_atom_site_label
_atom_site_fract_x
_atom_site_fract_y
_atom_site_fract_z
Mn1 0.000 0.000 0.000
Sn1 0.500 0.500 0.500
H1 0.250 0.250 0.250
H2 0.750 0.750 0.750
# total DFT energy (no corrections)	-0.16230	Ha/atom

(16)
# TaMn2H2 PBEsol optimized geometry
data_TaMn2H2
_cell_length_a 4.988
_cell_length_b 4.988
_cell_length_c 4.988
_cell_angle_alpha 143.12
_cell_angle_beta 143.12
_cell_angle_gamma 53.15
_symmetry_space_group_name_H-M 'P 1'
_symmetry_Int_Tables_number 1
loop_
_symmetry_equiv_pos_as_xyz
'x,y,z'
loop_
_atom_site_label
_atom_site_fract_x
_atom_site_fract_y
_atom_site_fract_z
Ta1 0.000 0.000 0.000
Mn1 0.342 0.342 0.000
Mn2 0.658 0.658 0.000
H1 0.250 0.750 0.500
H2 0.750 0.250 0.500
# total DFT energy (no corrections)	-0.28567	Ha/atom

(17)
# TaMn2H PBEsol optimized geometry
data_TaMn2H
_cell_length_a 4.050
_cell_length_b 4.050
_cell_length_c 4.050
_cell_angle_alpha 60.00
_cell_angle_beta 60.00
_cell_angle_gamma 60.00
_symmetry_space_group_name_H-M 'P 1'
_symmetry_Int_Tables_number 1
loop_
_symmetry_equiv_pos_as_xyz
'x,y,z'
loop_
_atom_site_label
_atom_site_fract_x
_atom_site_fract_y
_atom_site_fract_z
Ta1 0.000 0.000 0.000
Mn1 0.250 0.250 0.250
Mn2 0.750 0.750 0.750
H1 0.500 0.500 0.500
# total DFT energy (no corrections)	-0.29697	Ha/atom

(18)
# Ta2MnH2 PBEsol optimized geometry
data_Ta2MnH2
_cell_length_a 6.140
_cell_length_b 6.140
_cell_length_c 6.140
_cell_angle_alpha 152.03
_cell_angle_beta 152.03
_cell_angle_gamma 39.96
_symmetry_space_group_name_H-M 'P 1'
_symmetry_Int_Tables_number 1
loop_
_symmetry_equiv_pos_as_xyz
'x,y,z'
loop_
_atom_site_label
_atom_site_fract_x
_atom_site_fract_y
_atom_site_fract_z
Ta1 0.133 0.133 0.000
Ta2 0.867 0.867 0.000
Mn1 0.500 0.500 0.000
H1 0.250 0.750 0.500
H2 0.750 0.250 0.500
# total DFT energy (no corrections)	-0.31159	Ha/atom

(19)
# MnTc3H PBEsol optimized geometry
data_MnTc3H
_cell_length_a 3.815
_cell_length_b 3.815
_cell_length_c 3.815
_cell_angle_alpha 90.00
_cell_angle_beta 90.00
_cell_angle_gamma 90.00
_symmetry_space_group_name_H-M 'P 1'
_symmetry_Int_Tables_number 1
loop_
_symmetry_equiv_pos_as_xyz
'x,y,z'
loop_
_atom_site_label
_atom_site_fract_x
_atom_site_fract_y
_atom_site_fract_z
Mn1 0.000 0.000 0.000
Tc1 0.000 0.500 0.500
Tc2 0.500 0.000 0.500
Tc3 0.500 0.500 0.000
H1 0.500 0.500 0.500
# total DFT energy (no corrections)	-0.34081	Ha/atom

(20)
# Mn2TcH2 PBEsol optimized geometry
data_Mn2TcH2
_cell_length_a 6.004
_cell_length_b 6.004
_cell_length_c 6.004
_cell_angle_alpha 154.26
_cell_angle_beta 154.26
_cell_angle_gamma 36.72
_symmetry_space_group_name_H-M 'P 1'
_symmetry_Int_Tables_number 1
loop_
_symmetry_equiv_pos_as_xyz
'x,y,z'
loop_
_atom_site_label
_atom_site_fract_x
_atom_site_fract_y
_atom_site_fract_z
Mn1 0.153 0.153 0.000
Mn2 0.847 0.847 0.000
Tc1 0.500 0.500 0.000
H1 0.250 0.750 0.500
H2 0.750 0.250 0.500
# total DFT energy (no corrections)	-0.27363	Ha/atom

(21)
# MnTe2H PBEsol optimized geometry
data_MnTe2H
_cell_length_a 6.613
_cell_length_b 6.613
_cell_length_c 6.613
_cell_angle_alpha 127.90
_cell_angle_beta 127.90
_cell_angle_gamma 76.78
_symmetry_space_group_name_H-M 'P 1'
_symmetry_Int_Tables_number 1
loop_
_symmetry_equiv_pos_as_xyz
'x,y,z'
loop_
_atom_site_label
_atom_site_fract_x
_atom_site_fract_y
_atom_site_fract_z
Mn1 0.000 0.000 0.000
Mn2 0.750 0.250 0.500
Te1 0.169 0.625 0.044
Te2 0.375 0.419 0.544
Te3 0.581 0.125 0.956
Te4 0.875 0.831 0.456
H1 0.250 0.750 0.500
H2 0.500 0.500 0.000
# total DFT energy (no corrections)	-0.17088	Ha/atom

(22)
# Ti2MnH PBEsol optimized geometry
data_Ti2MnH
_cell_length_a 4.935
_cell_length_b 4.935
_cell_length_c 4.935
_cell_angle_alpha 112.04
_cell_angle_beta 112.04
_cell_angle_gamma 104.45
_symmetry_space_group_name_H-M 'P 1'
_symmetry_Int_Tables_number 1
loop_
_symmetry_equiv_pos_as_xyz
'x,y,z'
loop_
_atom_site_label
_atom_site_fract_x
_atom_site_fract_y
_atom_site_fract_z
Ti1 0.052 0.125 0.427
Ti2 0.375 0.948 0.073
Ti3 0.698 0.625 0.573
Ti4 0.875 0.302 0.927
Mn1 0.250 0.750 0.500
Mn2 0.500 0.500 0.000
H1 0.000 0.000 0.000
H2 0.750 0.250 0.500
# total DFT energy (no corrections)	-0.27207	Ha/atom

(23)
# Ti2MnH2 PBEsol optimized geometry
data_Ti2MnH2
_cell_length_a 5.624
_cell_length_b 5.624
_cell_length_c 5.624
_cell_angle_alpha 149.26
_cell_angle_beta 149.26
_cell_angle_gamma 44.03
_symmetry_space_group_name_H-M 'P 1'
_symmetry_Int_Tables_number 1
loop_
_symmetry_equiv_pos_as_xyz
'x,y,z'
loop_
_atom_site_label
_atom_site_fract_x
_atom_site_fract_y
_atom_site_fract_z
Ti1 0.137 0.137 0.000
Ti2 0.863 0.863 0.000
Mn1 0.500 0.500 0.000
H1 0.250 0.750 0.500
H2 0.750 0.250 0.500
# total DFT energy (no corrections)	-0.25729	Ha/atom

(24)
# YMnH3 PBEsol optimized geometry
data_YMnH3
_cell_length_a 3.484
_cell_length_b 3.484
_cell_length_c 3.484
_cell_angle_alpha 90.00
_cell_angle_beta 90.00
_cell_angle_gamma 90.00
_symmetry_space_group_name_H-M 'P 1'
_symmetry_Int_Tables_number 1
loop_
_symmetry_equiv_pos_as_xyz
'x,y,z'
loop_
_atom_site_label
_atom_site_fract_x
_atom_site_fract_y
_atom_site_fract_z
Y1 0.000 0.000 0.000
Mn1 0.500 0.500 0.500
H1 0.000 0.500 0.500
H2 0.500 0.000 0.500
H3 0.500 0.500 0.000
# total DFT energy (no corrections)	-0.20934	Ha/atom

(25)
# YMn3H PBEsol optimized geometry
data_YMn3H
_cell_length_a 5.028
_cell_length_b 5.028
_cell_length_c 5.028
_cell_angle_alpha 90.00
_cell_angle_beta 90.00
_cell_angle_gamma 90.00
_symmetry_space_group_name_H-M 'P 1'
_symmetry_Int_Tables_number 1
loop_
_symmetry_equiv_pos_as_xyz
'x,y,z'
loop_
_atom_site_label
_atom_site_fract_x
_atom_site_fract_y
_atom_site_fract_z
Y1 0.000 0.000 0.000
Mn1 0.000 0.000 0.500
Mn2 0.000 0.500 0.000
Mn3 0.500 0.000 0.000
H1 0.500 0.500 0.500
# total DFT energy (no corrections)	-0.20151	Ha/atom

(26)
# Zr2MnH2 PBEsol optimized geometry
data_Zr2MnH2
_cell_length_a 6.257
_cell_length_b 6.257
_cell_length_c 6.257
_cell_angle_alpha 150.77
_cell_angle_beta 150.77
_cell_angle_gamma 41.81
_symmetry_space_group_name_H-M 'P 1'
_symmetry_Int_Tables_number 1
loop_
_symmetry_equiv_pos_as_xyz
'x,y,z'
loop_
_atom_site_label
_atom_site_fract_x
_atom_site_fract_y
_atom_site_fract_z
Zr1 0.133 0.133 0.000
Zr2 0.867 0.867 0.000
Mn1 0.500 0.500 0.000
H1 0.250 0.750 0.500
H2 0.750 0.250 0.500
# total DFT energy (no corrections)	-0.26712	Ha/atom

(27)
# Zr3MnH PBEsol optimized geometry
data_Zr3MnH
_cell_length_a 4.344
_cell_length_b 4.344
_cell_length_c 4.344
_cell_angle_alpha 90.00
_cell_angle_beta 90.00
_cell_angle_gamma 90.00
_symmetry_space_group_name_H-M 'P 1'
_symmetry_Int_Tables_number 1
loop_
_symmetry_equiv_pos_as_xyz
'x,y,z'
loop_
_atom_site_label
_atom_site_fract_x
_atom_site_fract_y
_atom_site_fract_z
Zr1 0.000 0.000 0.500
Zr2 0.000 0.500 0.000
Zr3 0.500 0.000 0.000
Mn1 0.500 0.500 0.500
H1 0.000 0.000 0.000
# total DFT energy (no corrections)	-0.29631	Ha/atom

(28)
# MoH PBEsol optimized geometry
data_MoH
_cell_length_a 2.889
_cell_length_b 2.889
_cell_length_c 5.013
_cell_angle_alpha 90.00
_cell_angle_beta 90.00
_cell_angle_gamma 120.00
_symmetry_space_group_name_H-M 'P 1'
_symmetry_Int_Tables_number 1
loop_
_symmetry_equiv_pos_as_xyz
'x,y,z'
loop_
_atom_site_label
_atom_site_fract_x
_atom_site_fract_y
_atom_site_fract_z
Mo1 0.000 0.000 0.000
Mo2 0.000 0.000 0.500
H1 0.333 0.667 0.250
H2 0.667 0.333 0.750
# total DFT energy (no corrections)	-0.26142	Ha/atom